PBE AcAlAg4, optimized geometry; magnetization = 0.000 μB/atom; calculated formation energy = -59.4 kJ/mol of formula units; density of states at the Fermi level = 0.417 states/eV/atom; ΔE to the lowest computed polymorph = 4.32 kJ per mole of atoms
1.0
2.594 -7.228 0.000
2.594 7.228 0.000
0.000 0.000 7.369
Ac Al Ag
2 2 8
Cartesian
2.594 5.673 5.526 Ac
2.594 -5.673 1.842 Ac
2.594 1.868 5.526 Al
2.594 -1.868 1.842 Al
2.594 5.542 1.842 Ag
2.594 3.063 0.432 Ag
2.594 3.063 3.252 Ag
2.594 0.000 0.000 Ag
2.594 0.000 3.684 Ag
2.594 -3.063 4.117 Ag
2.594 -3.063 6.936 Ag
2.594 -5.542 5.526 Ag